# TlCoBr2F

A geometry-optimized TlCoBr2F structure (PBE+U, the Alexandria database).

Cell lengths 5.4632, 5.4632, 3.9429 Å; angles 90.00, 90.00, 90.00 degrees
Site moments in Bohr magnetons follow the coordinates.
Fractional positions:
Br: 0.5000 0.0000 0.0000  0.06
Tl: 0.5000 0.5000 0.5000  0.01
Br: 0.0000 0.5000 0.0000  0.06
F: 0.0000 0.0000 0.5000  0.12
Co: 0.0000 0.0000 0.0000  2.68

Summary:
V = 117.7 Å³ per cell
space group = P4/mmm (123)
final energy = -17.3 eV/cell
D(E_F) = 3.5 states/eV per cell

=====

# SrNiF2

A geometry-optimized SrNiF2 structure (PBE+U, the Alexandria database).

Cell lengths 4.3232, 4.3232, 7.6944 Å; angles 73.68, 73.68, 90.00 degrees
Fractional positions:
Ni: 0.5000 0.5000 0.0000
F: 0.1730 0.6250 0.2500
F: 0.3750 0.4230 0.7500
Sr: 0.7500 0.2500 0.5000
F: 0.8750 0.8270 0.7500
F: 0.5770 0.1250 0.2500
Sr: 0.0000 0.0000 0.0000
Ni: 0.2500 0.7500 0.5000

Summary:
V = 132.0 Å³ per cell
distance to the lowest polymorph of the same formula = 0.577 eV/atom
space group = I-42d (122)
final energy = -28.8 eV/cell
D(E_F) = 0.0 states/eV per cell